Record 1
Computed, not measured: an optimized crystal structure of La4ZrAs at the PBE level of DFT.

Computed properties:
The space group is F-43m (216). The density of states at the Fermi level comes out at 8.42 states/eV per cell. The formation energy comes out at 364.0 meV/atom. For the raw total energy, the calculation gives -0.1882 Ha/atom.

Cell: 6.395 6.395 6.395 Å, 60.00 60.00 60.00°
Each line ends with the local moment (μB).
Element x y z (fractional)
La  0.872  0.376  0.376  0.07
As  0.000  0.000  0.000  0.00
La  0.376  0.872  0.376  0.07
La  0.376  0.376  0.376  0.07
La  0.376  0.376  0.872  0.07
Zr  0.750  0.750  0.750  0.72

***

Record 2
Computed, not measured: an optimized crystal structure of LaZr2As at the PBE level of DFT.

Computed properties:
The space group is Amm2 (38). The density of states at the Fermi level comes out at 3.47 states/eV per cell. The formation energy comes out at -502.0 meV/atom. For the raw total energy, the calculation gives -0.2635 Ha/atom.

Cell: 4.440 3.889 6.222 Å, 71.80 90.00 90.00°
Element x y z (fractional)
Zr  0.000  0.998  0.129
La  0.500  0.726  0.673
Zr  0.500  0.460  0.204
As  0.000  0.315  0.494

***

Record 3
Computed, not measured: an optimized crystal structure of La3ZrAs at the PBE level of DFT.

Computed properties:
The space group is Pm-3m (221). The density of states at the Fermi level comes out at 9.06 states/eV per cell. The formation energy comes out at -47.1 meV/atom. For the raw total energy, the calculation gives -0.2074 Ha/atom.

Cell: 5.722 5.722 5.722 Å, 90.00 90.00 90.00°
Each line ends with the local moment (μB).
Element x y z (fractional)
Zr  0.500  0.500  0.500  0.90
As  0.000  0.000  0.000  0.01
La  0.500  0.000  0.000  0.07
La  0.000  0.000  0.500  0.07
La  0.000  0.500  0.000  0.06

***

Q: Which formula does entry 2 have?
A: LaZr2As